P.
Material: Sn4IrPd
Method: DFT, PBE
State: relaxed

It has space group P4/mmm (No. 123), with a = 4.5855 Å, b = 4.5855 Å, c = 6.4469 Å, α = 90.00°, β = 90.00° and γ = 90.00°. The distinct sites, in fractional coordinates, are Sn at (0.0000, 0.5000, 0.2465), Ir at (0.0000, 0.0000, 0.0000) and Pd at (0.5000, 0.5000, 0.5000).

As for the mass density: 9.5 g cm⁻³.



Q.
Material: Sn4IrPd
Method: DFT, PBE
State: relaxed

It has space group C2/m (No. 12), with a = 7.2195 Å, b = 5.0246 Å, c = 7.3185 Å, α = 90.00°, β = 92.43° and γ = 90.00°. The distinct sites, in fractional coordinates, are Sn at (0.1413, 0.0000, 0.3626), Sn at (0.1582, 0.5000, 0.1291), Ir at (0.0000, 0.0000, 0.0000) and Pd at (0.0000, 0.5000, 0.5000).

As for the mass density: 9.7 g cm⁻³.



In order of decreasing stability: P, Q.



P.
Material: SrIrPd2
Method: DFT, PBE
State: relaxed

It has space group Fm-3m (No. 225), with a = 6.7166 Å, b = 6.7166 Å, c = 6.7166 Å, α = 90.00°, β = 90.00° and γ = 90.00°. The distinct sites, in fractional coordinates, are Sr at (0.0000, 0.0000, 0.0000), Ir at (0.0000, 0.0000, 0.5000) and Pd at (0.2500, 0.2500, 0.2500).

As for the mass density: 10.8 g cm⁻³.



Q.
Material: SrIrPd2
Method: DFT, PBE
State: relaxed

It has space group I-42d (No. 122), with a = 4.7962 Å, b = 4.7962 Å, c = 17.6431 Å, α = 90.00°, β = 90.00° and γ = 90.00°. The distinct sites, in fractional coordinates, are Sr at (0.0000, 0.0000, 0.0000), Ir at (0.0000, 0.0000, 0.5000) and Pd at (0.0804, 0.2500, 0.6250).

As for the mass density: 8.1 g cm⁻³.



In order of decreasing stability: P, Q.